(1)
## SmCdAs2 (PBE)

Data for an optimized crystal structure of SmCdAs2.

Lattice parameters (Å, degrees): 4.7621 4.7621 3.9154 90.00 90.00 90.00
Element x y z (fractional)
1 Sm 0.0000 0.0000 0.0000
2 Cd 0.5000 0.5000 0.0000
3 As 0.0000 0.5000 0.5000
4 As 0.5000 0.0000 0.5000

- Distance to the lowest polymorph of the same formula: 0 meV per atom
- Formation enthalpy at 0 K: -617 meV/atom
- Total magnetization: 0.00 μB per atom

(2)
## MgRe2B (PBE)

Data for an optimized crystal structure of MgRe2B.

Lattice parameters (Å, degrees): 4.1783 4.1783 4.1783 60.00 60.00 60.00
Element x y z (fractional)
1 Mg 0.0000 0.0000 0.0000
2 Re 0.2500 0.2500 0.2500
3 Re 0.7500 0.7500 0.7500
4 B 0.5000 0.5000 0.5000

- Distance to the lowest polymorph of the same formula: 27 meV per atom
- Formation enthalpy at 0 K: 977 meV/atom
- Total magnetization: 0.00 μB per atom

(3)
## CaRe2Ir (PBE)

Data for an optimized crystal structure of CaRe2Ir.

Lattice parameters (Å, degrees): 4.5259 4.5259 4.5259 60.00 60.00 60.00
Element x y z (fractional)
1 Ca 0.0000 0.0000 0.0000
2 Re 0.2500 0.2500 0.2500
3 Re 0.7500 0.7500 0.7500
4 Ir 0.5000 0.5000 0.5000

- Distance to the lowest polymorph of the same formula: 619 meV per atom
- Formation enthalpy at 0 K: 857 meV/atom
- Total magnetization: 0.35 μB per atom

(4)
## Ac8Tb2Dy3 (PBE)

Data for an optimized crystal structure of Ac8Tb2Dy3.

Lattice parameters (Å, degrees): 6.6271 6.6543 12.0458 90.09 100.69 99.74
Element x y z (fractional)
1 Ac 0.0435 0.4161 0.1499
2 Ac 0.1972 0.1165 0.7762
3 Ac 0.3392 0.8068 0.3839
4 Ac 0.4187 0.6541 0.6928
5 Ac 0.5813 0.3459 0.3072
6 Ac 0.6608 0.1932 0.6161
7 Ac 0.8028 0.8835 0.2238
8 Ac 0.9565 0.5839 0.8501
9 Tb 0.1122 0.2663 0.4631
10 Tb 0.8878 0.7337 0.5369
11 Dy 0.2747 0.9618 0.0730
12 Dy 0.5000 0.5000 0.0000
13 Dy 0.7253 0.0382 0.9270

- Formation enthalpy at 0 K: 62 meV/atom
- Total magnetization: 0.00 μB per atom

| no. | mass density (Mg/m³) |
| --- | --- |
| 1 | 7.7 |
| 2 | 13.1 |
| 3 | 15.3 |
| 4 | 8.5 |